Density functional theory data (PBE) for an optimized crystal structure of Li6HgIr2.

Calculated values
uncorrected energy	-31.12	eV/f.u.
volume	14.5	Å³ per atom
formation energy from the elements	-0.18	eV per atom

a b c (Å): 2.5793 7.6421 7.6421
angles (deg): 60.00 90.02 90.02
Fractional coordinates of all 9 atoms:
Li (0.5012, 0.3473, 0.0000)
Li (0.4988, 0.0000, 0.6527)
Li (0.5000, 0.3473, 0.6527)
Li (0.5000, 0.6527, 0.3473)
Li (0.4988, 0.6527, 0.0000)
Li (0.5012, 0.0000, 0.3473)
Ir (0.0000, 0.3333, 0.3333)
Ir (0.0000, 0.6667, 0.6667)
Hg (0.0000, 0.0000, 0.0000)

***

Density functional theory data (PBE) for an optimized crystal structure of KInOs2.

Calculated values
uncorrected energy	-22.59	eV/f.u.
volume	28.1	Å³ per atom
formation energy from the elements	0.93	eV per atom

a b c (Å): 6.3575 6.3575 8.0560
angles (deg): 55.03 55.03 25.28
Fractional coordinates of all 4 atoms:
Os (0.9490, 0.9490, 0.9075)
Os (0.5510, 0.5510, 0.5925)
In (0.2500, 0.2500, 0.2500)
K (0.7500, 0.7500, 0.7500)

***

Density functional theory data (PBE) for an optimized crystal structure of Th3ScTe4.

Calculated values
uncorrected energy	-49.25	eV/f.u.
volume	30.1	Å³ per atom
E_form (uncorrected)	-1.011	eV per atom

a b c (Å): 4.2242 7.7300 7.7300
angles (deg): 107.17 90.00 90.00
Fractional coordinates of all 8 atoms:
Te (0.5000, 0.7606, 0.2394)
Te (0.0000, 0.7689, 0.7689)
Te (0.5000, 0.2394, 0.7606)
Te (0.0000, 0.2311, 0.2311)
Sc (0.5000, 0.0000, 0.0000)
Th (0.0000, 0.5000, 0.0000)
Th (0.0000, 0.0000, 0.5000)
Th (0.5000, 0.5000, 0.5000)